No. 1
HfNiPd6 | PBE | optimized geometry

abc: 5.0914 5.0914 7.9669
angles: 120.23 120.23 99.64
Positions (direct):
1 Hf 0.0000 0.0000 0.0000
2 Ni 0.5000 0.5000 0.5000
3 Pd 0.4120 0.4120 0.7639
4 Pd 0.7695 0.1385 0.2641
5 Pd 0.5880 0.5880 0.2361
6 Pd 0.8615 0.2305 0.7359
7 Pd 0.2305 0.8615 0.7359
8 Pd 0.1385 0.7695 0.2641

## Properties
VASP energy (eV/cell): -49.04
Energy above the most stable polymorph in this dataset (eV per atom): 0.151

---

No. 2
Mn3Si5 | PBE | optimized geometry

abc: 6.9723 6.9723 4.7156
angles: 90.00 90.00 120.00
Last column: magnetic moment on the atom in μB.
Positions (direct):
1 Si 0.3333 0.6667 0.0000  -0.05
2 Si 0.6667 0.3333 0.5000  -0.05
3 Si 0.6667 0.3333 0.0000  -0.05
4 Si 0.3333 0.6667 0.5000  -0.05
5 Si 0.2491 0.0000 0.2500  -0.05
6 Si 0.7509 0.0000 0.7500  -0.05
7 Si 0.0000 0.2491 0.2500  -0.05
8 Si 0.7509 0.7509 0.2500  -0.05
9 Si 0.2491 0.2491 0.7500  -0.05
10 Si 0.0000 0.7509 0.7500  -0.05
11 Mn 0.6129 0.0000 0.2500  1.13
12 Mn 0.3871 0.0000 0.7500  1.13
13 Mn 0.0000 0.6129 0.2500  1.13
14 Mn 0.3871 0.3871 0.2500  1.13
15 Mn 0.6129 0.6129 0.7500  1.13
16 Mn 0.0000 0.3871 0.7500  1.13

## Properties
VASP energy (eV/cell): -109.30
Energy above the most stable polymorph in this dataset (eV per atom): 0.144
Formation energy (no corrections) (meV per atom): -4

---

No. 3
Cd12Ga3Sn5 | PBE | optimized geometry

abc: 14.3793 14.3793 14.3793
angles: 109.47 109.47 109.47
Positions (direct):
1 Ga 0.7500 0.3750 0.1250
2 Ga 0.8750 0.7500 0.1250
3 Ga 0.3750 0.7500 0.6250
4 Ga 0.2500 0.1250 0.3750
5 Ga 0.8750 0.1250 0.2500
6 Ga 0.3750 0.6250 0.2500
7 Ga 0.6250 0.3750 0.7500
8 Ga 0.1250 0.8750 0.7500
9 Ga 0.7500 0.8750 0.6250
10 Ga 0.6250 0.2500 0.3750
11 Ga 0.1250 0.2500 0.8750
12 Ga 0.2500 0.6250 0.8750
13 Sn 0.1250 0.3750 0.2500
14 Sn 0.0000 0.5000 0.0000
15 Sn 0.0000 0.0000 0.0000
16 Sn 0.3750 0.2500 0.1250
17 Sn 0.5000 0.0000 0.5000
18 Sn 0.5000 0.5000 0.0000
19 Sn 0.1250 0.7500 0.3750
20 Sn 0.7500 0.1250 0.8750
21 Sn 0.7500 0.6250 0.3750
22 Sn 0.3750 0.1250 0.7500
23 Sn 0.6250 0.8750 0.2500
24 Sn 0.5000 0.5000 0.5000
25 Sn 0.5000 0.0000 0.0000
26 Sn 0.0000 0.0000 0.5000
27 Sn 0.2500 0.3750 0.6250
28 Sn 0.2500 0.8750 0.1250
29 Sn 0.0000 0.5000 0.5000
30 Sn 0.8750 0.2500 0.6250
31 Sn 0.6250 0.7500 0.8750
32 Sn 0.8750 0.6250 0.7500
33 Cd 0.7393 0.1310 0.0691
34 Cd 0.3298 0.5691 0.4381
35 Cd 0.9309 0.3690 0.2607
36 Cd 0.5691 0.2393 0.1310
37 Cd 0.6083 0.7393 0.6702
38 Cd 0.9309 0.5619 0.1702
39 Cd 0.3298 0.7607 0.3917
40 Cd 0.0619 0.8917 0.1310
41 Cd 0.5619 0.9309 0.6702
42 Cd 0.7393 0.6083 0.1702
43 Cd 0.7607 0.4309 0.3690
44 Cd 0.8298 0.9381 0.0691
45 Cd 0.1310 0.7393 0.5691
46 Cd 0.3690 0.4381 0.1083
47 Cd 0.1083 0.9381 0.3690
48 Cd 0.3917 0.1310 0.5619
49 Cd 0.1083 0.1702 0.2393
50 Cd 0.4309 0.6702 0.0619
51 Cd 0.8298 0.8917 0.2607
52 Cd 0.1310 0.3917 0.0619
53 Cd 0.3690 0.9309 0.7607
54 Cd 0.5619 0.6310 0.3917
55 Cd 0.9381 0.8298 0.5691
56 Cd 0.7607 0.3298 0.8917
57 Cd 0.4381 0.3690 0.6083
58 Cd 0.0619 0.1702 0.4309
59 Cd 0.2393 0.6702 0.1083
60 Cd 0.1702 0.1083 0.7393
61 Cd 0.6310 0.0691 0.2393
62 Cd 0.8690 0.6083 0.9381
63 Cd 0.5691 0.3298 0.9381
64 Cd 0.6083 0.8690 0.4381
65 Cd 0.8917 0.8298 0.7607
66 Cd 0.8917 0.0619 0.6310
67 Cd 0.8690 0.2607 0.4309
68 Cd 0.1702 0.0619 0.9309
69 Cd 0.6310 0.5619 0.8917
70 Cd 0.4381 0.0691 0.3298
71 Cd 0.2607 0.3917 0.8298
72 Cd 0.2393 0.5691 0.6310
73 Cd 0.9381 0.1083 0.8690
74 Cd 0.6702 0.2393 0.6083
75 Cd 0.4309 0.7607 0.8690
76 Cd 0.0691 0.4381 0.8298
77 Cd 0.3917 0.2607 0.3298
78 Cd 0.0691 0.6310 0.7393
79 Cd 0.6702 0.4309 0.5619
80 Cd 0.2607 0.8690 0.9309

## Properties
VASP energy (eV/cell): -145.21